A plane-wave DFT calculation with GGA-PBE was carried out for an optimized crystal structure of Ni4Ag.

a b c (Å): 3.457 3.457 11.107
angles (deg): 90.00 90.00 90.00
Atoms (fractional coordinates):
Ni: 0.000 0.000 0.104
Ni: 0.000 0.000 0.896
Ni: 0.000 0.500 0.250
Ni: 0.000 0.500 0.750
Ni: 0.500 0.000 0.250
Ni: 0.500 0.000 0.750
Ni: 0.500 0.500 0.396
Ni: 0.500 0.500 0.604
Ag: 0.000 0.000 0.500
Ag: 0.500 0.500 0.000

The symmetry is I4/mmm. The calculation puts the energy above the most stable polymorph in this dataset at 0.168 eV per atom. The formation energy from the elements comes out at 0.366 eV per atom.